Record 1
A geometry-optimized BeCuTc2W structure. Source: the Alexandria database, functional PBE.

Output
- V: 97 Å³/cell
- Calculated formation energy: 1.78 eV per atom
- Total DFT energy (no corrections): -6.53 eV/atom
- Total moment: 2.24 Bohr magnetons per cell

Unit cell a=4.704 b=4.704 c=4.376 alpha=90.00 beta=90.00 gamma=90.00
Space group P4/mmm (No. 123)
Inequivalent atoms, fractional coordinates:
1 Be 0.000 0.000 0.000 (multiplicity 1)
2 Cu 0.500 0.500 0.000 (multiplicity 1)
3 Tc 0.000 0.500 0.500 (multiplicity 2)
4 W 0.000 0.000 0.500 (multiplicity 1)

***

Record 2
A geometry-optimized ZnInSbI2 structure. Source: the Alexandria database, functional PBE.

Output
- ΔE_f (raw): 0.310 eV per atom
- V: 211 Å³/cell
- Total DFT energy (no corrections): -1.94 eV/atom
- Total moment: 1.65 Bohr magnetons per cell

Unit cell a=5.999 b=5.999 c=5.877 alpha=90.00 beta=90.00 gamma=90.00
Space group P4/mmm (No. 123)
Inequivalent atoms, fractional coordinates:
1 Zn 0.000 0.000 0.000 (multiplicity 1)
2 In 0.500 0.500 0.500 (multiplicity 1)
3 Sb 0.500 0.500 0.000 (multiplicity 1)
4 I 0.000 0.500 0.500 (multiplicity 2)

***

Record 3
A geometry-optimized Al2TlAgSe structure. Source: the Alexandria database, functional PBE.

Output
- ΔE_f (raw): 0.847 eV per atom
- V: 153 Å³/cell
- Total DFT energy (no corrections): -2.39 eV/atom
- Total moment: 0.00 Bohr magnetons per cell

Unit cell a=5.241 b=5.241 c=5.579 alpha=90.00 beta=90.00 gamma=90.00
Space group P4/mmm (No. 123)
Inequivalent atoms, fractional coordinates:
1 Al 0.000 0.500 0.000 (multiplicity 2)
2 Tl 0.000 0.000 0.000 (multiplicity 1)
3 Ag 0.500 0.500 0.500 (multiplicity 1)
4 Se 0.000 0.000 0.500 (multiplicity 1)

***

Record 4
A geometry-optimized TlBTe2Cl structure. Source: the Alexandria database, functional PBE.

Output
- ΔE_f (raw): 1.227 eV per atom
- V: 175 Å³/cell
- Total DFT energy (no corrections): -2.21 eV/atom
- Total moment: 0.00 Bohr magnetons per cell

Unit cell a=5.524 b=5.524 c=5.723 alpha=90.00 beta=90.00 gamma=90.00
Space group P4/mmm (No. 123)
Inequivalent atoms, fractional coordinates:
1 Tl 0.000 0.000 0.000 (multiplicity 1)
2 B 0.500 0.500 0.000 (multiplicity 1)
3 Te 0.000 0.500 0.500 (multiplicity 2)
4 Cl 0.000 0.000 0.500 (multiplicity 1)

***

Record 5
A geometry-optimized InSnAu4 structure. Source: the Alexandria database, functional PBE.

Output
- V: 554 Å³/cell
- Calculated formation energy: -0.06 eV per atom
- Total DFT energy (no corrections): -3.36 eV/atom
- Total moment: 0.00 Bohr magnetons per cell

Unit cell a=13.654 b=6.580 c=7.124 alpha=90.00 beta=120.12 gamma=90.00
Space group C2/m (No. 12)
Inequivalent atoms, fractional coordinates:
1 In 0.074 0.000 0.366 (multiplicity 4)
2 Sn 0.203 0.500 0.123 (multiplicity 4)
3 Au 0.000 0.280 0.000 (multiplicity 4)
4 Au 0.104 0.284 0.696 (multiplicity 8)
5 Au 0.186 0.000 0.133 (multiplicity 4)

***

Record 6
A geometry-optimized Tb2GaSe structure. Source: the Alexandria database, functional PBE.

Output
- ΔE_f (raw): -1.251 eV per atom
- V: 389 Å³/cell
- Total DFT energy (no corrections): -5.19 eV/atom
- Total moment: 0.00 Bohr magnetons per cell

Unit cell a=4.264 b=22.494 c=4.053 alpha=90.00 beta=90.00 gamma=90.00
Space group Cmcm (No. 63)
Inequivalent atoms, fractional coordinates:
1 Tb 0.000 0.066 0.250 (multiplicity 4)
2 Tb 0.000 0.321 0.250 (multiplicity 4)
3 Ga 0.000 0.460 0.250 (multiplicity 4)
4 Se 0.000 0.193 0.250 (multiplicity 4)

***

Record 7
A geometry-optimized TaMn2Br structure. Source: the Alexandria database, functional PBE.

Output
- ΔE_f (raw): 0.681 eV per atom
- V: 64 Å³/cell
- Total DFT energy (no corrections): -7.29 eV/atom
- Total moment: 4.80 Bohr magnetons per cell

Unit cell a=3.162 b=4.299 c=4.687 alpha=90.00 beta=90.00 gamma=90.00
Space group Pmmm (No. 47)
Inequivalent atoms, fractional coordinates:
1 Ta 0.000 0.000 0.000 (multiplicity 1)
2 Mn 0.000 0.500 0.500 (multiplicity 1)
3 Mn 0.500 0.500 0.000 (multiplicity 1)
4 Br 0.500 0.000 0.500 (multiplicity 1)

***

Record 8
A geometry-optimized Sc5Ni structure. Source: the Alexandria database, functional PBE.

Output
- V: 545 Å³/cell
- Calculated formation energy: 0.45 eV per atom
- Total DFT energy (no corrections): -5.79 eV/atom
- Total moment: 0.05 Bohr magnetons per cell

Unit cell a=8.166 b=8.166 c=8.166 alpha=90.00 beta=90.00 gamma=90.00
Space group F-43m (No. 216)
Inequivalent atoms, fractional coordinates:
1 Sc 0.000 0.000 0.000 (multiplicity 4)
2 Sc 0.125 0.125 0.625 (multiplicity 16)
3 Ni 0.250 0.250 0.250 (multiplicity 4)

***

Q: Look up the total DFT energy (no corrections) of the eighth one.
A: -5.79 eV/atom

***

Q: What is the formula in the sixth record?
A: Tb2GaSe

***

Q: What is the formula in the fifth record?
A: InSnAu4